# 1
## Tb3Sc3In2Fe (PBE)

Data for crystalline Tb3Sc3In2Fe at its relaxed geometry.

E_form ... -0.2620 eV/atom
Total energy ... -5.46 eV per atom
Calculated volume ... 25.14 A^3/atom
Total magnetization ... 0.36 μB per formula unit
N(E_F) ... 11.793 states/eV per cell

```
data_Tb3Sc3In2Fe
_chemical_formula_sum 'Tb3 Sc3 In2 Fe1'
_space_group_name_H-M_alt 'P -6 2 m'
_space_group_IT_number 189
_space_group_name_Hall 'P -6 -2'
_cell_length_a 8.3118
_cell_length_b 8.3118
_cell_length_c 3.7819
_cell_angle_alpha 90.00
_cell_angle_beta 90.00
_cell_angle_gamma 120.00
loop_
_atom_site_label
_atom_site_fract_x
_atom_site_fract_y
_atom_site_fract_z
_atom_site_occupancy
Tb1 0.0000 0.6122 0.0000 1
Sc1 0.0000 0.2261 0.5000 1
In1 0.3333 0.6667 0.5000 1
Fe1 0.0000 0.0000 0.0000 1
```

***

# 2
## CoTc2Os (PBE)

Data for crystalline CoTc2Os at its relaxed geometry.

E_form ... 0.1050 eV/atom
Total energy ... -9.66 eV per atom
Calculated volume ... 13.56 A^3/atom
Total magnetization ... 0.00 μB per formula unit
N(E_F) ... 4.440 states/eV per cell

```
data_CoTc2Os
_chemical_formula_sum 'Co1 Tc2 Os1'
_space_group_name_H-M_alt 'P 4 m m'
_space_group_IT_number 99
_cell_length_a 2.684
_cell_length_b 2.684
_cell_length_c 7.525
_cell_angle_alpha 90.00
_cell_angle_beta 90.00
_cell_angle_gamma 90.00
loop_
_space_group_symop_operation_xyz
'x,y,z'
'-y,x,z'
'-x,-y,z'
'y,-x,z'
'-x,y,z'
'y,x,z'
'x,-y,z'
'-y,-x,z'
loop_
_atom_site_label
_atom_site_fract_x
_atom_site_fract_y
_atom_site_fract_z
_atom_site_occupancy
Co1 0.000 0.000 0.000 1
Tc1 0.000 0.000 0.492 1
Tc2 0.500 0.500 0.769 1
Os1 0.500 0.500 0.243 1
```

***

# 3
## Tb6Ho2Zn (PBE)

Data for crystalline Tb6Ho2Zn at its relaxed geometry.

E_form ... 0.0180 eV/atom
Total energy ... -4.23 eV per atom
Calculated volume ... 29.90 A^3/atom
Total magnetization ... 0.00 μB per formula unit
N(E_F) ... 27.204 states/eV per cell

```
data_Tb6Ho2Zn
_chemical_formula_sum 'Tb12 Ho4 Zn2'
_space_group_name_H-M_alt 'P n n m'
_space_group_IT_number 58
_cell_length_a 9.995
_cell_length_b 10.084
_cell_length_c 5.340
_cell_angle_alpha 90.00
_cell_angle_beta 90.00
_cell_angle_gamma 90.00
loop_
_space_group_symop_operation_xyz
'x,y,z'
'-x,-y,-z'
'-x,-y,z'
'x,y,-z'
'x+1/2,-y+1/2,-z+1/2'
'-x+1/2,y+1/2,z+1/2'
'-x+1/2,y+1/2,-z+1/2'
'x+1/2,-y+1/2,z+1/2'
loop_
_atom_site_label
_atom_site_fract_x
_atom_site_fract_y
_atom_site_fract_z
_atom_site_occupancy
Tb1 0.036 0.186 0.000 1
Tb2 0.125 0.618 0.500 1
Tb3 0.186 0.951 0.500 1
Ho1 0.210 0.277 0.500 1
Zn1 0.000 0.500 0.000 1
```

***

# 4
## Al2Cd2Se (PBE)

Data for crystalline Al2Cd2Se at its relaxed geometry.

Total energy ... -2.48 eV per atom
Calculated volume ... 22.16 A^3/atom
Total magnetization ... 0.00 μB per formula unit
N(E_F) ... 3.178 states/eV per cell

```
data_Al2Cd2Se
_chemical_formula_sum 'Al4 Cd4 Se2'
_space_group_name_H-M_alt 'P 4/m b m'
_space_group_IT_number 127
_space_group_name_Hall '-P 4 2ab'
_cell_length_a 7.059
_cell_length_b 7.059
_cell_length_c 4.448
_cell_angle_alpha 90.00
_cell_angle_beta 90.00
_cell_angle_gamma 90.00
loop_
_atom_site_label
_atom_site_fract_x
_atom_site_fract_y
_atom_site_fract_z
_atom_site_occupancy
Al1 0.138 0.362 0.000 1
Cd1 0.167 0.667 0.500 1
Se1 0.000 0.000 0.000 1
```

***

# 5
## H2PbF6 (PBE)

Data for crystalline H2PbF6 at its relaxed geometry.

Total energy ... -4.10 eV per atom
Calculated volume ... 12.05 A^3/atom
Total magnetization ... 0.07 μB per formula unit
N(E_F) ... 0.000 states/eV per cell

```
data_H2PbF6
_chemical_formula_sum 'H8 Pb4 F24'
_space_group_name_H-M_alt 'C 1 2/c 1'
_space_group_IT_number 15
_cell_length_a 10.917
_cell_length_b 8.436
_cell_length_c 4.878
_cell_angle_alpha 90.00
_cell_angle_beta 105.01
_cell_angle_gamma 90.00
loop_
_space_group_symop_operation_xyz
'x,y,z'
'-x,-y,-z'
'-x,y,-z+1/2'
'x,-y,z+1/2'
'x+1/2,y+1/2,z'
'-x+1/2,-y+1/2,-z'
'-x+1/2,y+1/2,-z+1/2'
'x+1/2,-y+1/2,z+1/2'
loop_
_atom_site_label
_atom_site_fract_x
_atom_site_fract_y
_atom_site_fract_z
_atom_site_occupancy
H1 0.123 0.173 0.297 1
Pb1 0.000 0.336 0.750 1
F1 0.107 0.445 0.138 1
F2 0.108 0.136 0.097 1
F3 0.138 0.229 0.590 1
```

***

# 6
## LiAg8Pd4 (PBE)

Data for crystalline LiAg8Pd4 at its relaxed geometry.

E_form ... 0.1375 eV/atom
Total energy ... -3.36 eV per atom
Calculated volume ... 19.20 A^3/atom
Total magnetization ... 0.00 μB per formula unit
N(E_F) ... 2.542 states/eV per cell

```
data_LiAg8Pd4
_chemical_formula_sum 'Li1 Ag8 Pd4'
_space_group_name_H-M_alt 'P m -3 m'
_space_group_IT_number 221
_space_group_name_Hall '-P 4 2 3'
_cell_length_a 6.296
_cell_length_b 6.296
_cell_length_c 6.296
_cell_angle_alpha 90.00
_cell_angle_beta 90.00
_cell_angle_gamma 90.00
loop_
_atom_site_label
_atom_site_fract_x
_atom_site_fract_y
_atom_site_fract_z
_atom_site_occupancy
Li1 0.000 0.000 0.000 1
Ag1 0.254 0.254 0.254 1
Pd1 0.000 0.000 0.500 1
Pd2 0.500 0.500 0.500 1
```

***

# 7
## TlCrPt2Br (PBE)

Data for crystalline TlCrPt2Br at its relaxed geometry.

Total energy ... -4.33 eV per atom
Calculated volume ... 22.93 A^3/atom
Total magnetization ... 4.12 μB per formula unit
N(E_F) ... 1.189 states/eV per cell

```
data_TlCrPt2Br
_chemical_formula_sum 'Tl1 Cr1 Pt2 Br1'
_space_group_name_H-M_alt 'P 4/m m m'
_space_group_IT_number 123
_space_group_name_Hall '-P 4 2'
_cell_length_a 4.920
_cell_length_b 4.920
_cell_length_c 4.737
_cell_angle_alpha 90.00
_cell_angle_beta 90.00
_cell_angle_gamma 90.00
loop_
_atom_site_label
_atom_site_fract_x
_atom_site_fract_y
_atom_site_fract_z
_atom_site_occupancy
Tl1 0.000 0.000 0.000 1
Cr1 0.500 0.500 0.000 1
Pt1 0.000 0.500 0.500 1
Br1 0.500 0.500 0.500 1
```

***

# 8
## CrCo7 (PBE)

Data for crystalline CrCo7 at its relaxed geometry.

E_form ... 0.0179 eV/atom
Total energy ... -7.40 eV per atom
Calculated volume ... 10.85 A^3/atom
Total magnetization ... 7.12 μB per formula unit
N(E_F) ... 6.782 states/eV per cell

```
data_CrCo7
_chemical_formula_sum 'Cr1 Co7'
_space_group_name_H-M_alt 'P -6 m 2'
_space_group_IT_number 187
_space_group_name_Hall 'P -6 2'
_cell_length_a 5.0105
_cell_length_b 5.0105
_cell_length_c 3.9942
_cell_angle_alpha 90.00
_cell_angle_beta 90.00
_cell_angle_gamma 120.00
loop_
_atom_site_label
_atom_site_fract_x
_atom_site_fract_y
_atom_site_fract_z
_atom_site_occupancy
Cr1 0.0000 0.0000 0.0000 1
Co1 0.0006 0.5003 0.0000 1
Co2 0.3333 0.6667 0.5000 1
Co3 0.3367 0.1683 0.5000 1
```

***

# 9
## Sm12HoIn3 (PBE)

Data for crystalline Sm12HoIn3 at its relaxed geometry.

E_form ... -0.1947 eV/atom
Total energy ... -4.53 eV per atom
Calculated volume ... 30.80 A^3/atom
Total magnetization ... 0.00 μB per formula unit
N(E_F) ... 22.616 states/eV per cell

```
data_Sm12HoIn3
_chemical_formula_sum 'Sm12 Ho1 In3'
_space_group_name_H-M_alt 'P 4/m m m'
_space_group_IT_number 123
_space_group_name_Hall '-P 4 2'
_cell_length_a 4.946
_cell_length_b 4.946
_cell_length_c 20.144
_cell_angle_alpha 90.00
_cell_angle_beta 90.00
_cell_angle_gamma 90.00
loop_
_atom_site_label
_atom_site_fract_x
_atom_site_fract_y
_atom_site_fract_z
_atom_site_occupancy
Sm1 0.000 0.000 0.000 1
Sm2 0.000 0.000 0.246 1
Sm3 0.000 0.000 0.500 1
Sm4 0.000 0.500 0.123 1
Sm5 0.000 0.500 0.370 1
Ho1 0.500 0.500 0.500 1
In1 0.500 0.500 0.000 1
In2 0.500 0.500 0.244 1
```

***

# 10
## LiSe2N2 (PBE)

Data for crystalline LiSe2N2 at its relaxed geometry.

Total energy ... -3.93 eV per atom
Calculated volume ... 16.04 A^3/atom
Total magnetization ... 1.90 μB per formula unit
N(E_F) ... 3.282 states/eV per cell

```
data_LiSe2N2
_chemical_formula_sum 'Li1 Se2 N2'
_space_group_name_H-M_alt 'P 4/m m m'
_space_group_IT_number 123
_space_group_name_Hall '-P 4 2'
_cell_length_a 3.824
_cell_length_b 3.824
_cell_length_c 5.484
_cell_angle_alpha 90.00
_cell_angle_beta 90.00
_cell_angle_gamma 90.00
loop_
_atom_site_label
_atom_site_fract_x
_atom_site_fract_y
_atom_site_fract_z
_atom_site_occupancy
Li1 0.000 0.000 0.000 1
Se1 0.500 0.500 0.000 1
Se2 0.500 0.500 0.500 1
N1 0.000 0.500 0.500 1
```

***

# 11
## PuScGeRh (PBE)

Data for crystalline PuScGeRh at its relaxed geometry.

E_form ... -0.5110 eV/atom
Total energy ... -8.67 eV per atom
Calculated volume ... 19.85 A^3/atom
Total magnetization ... 4.83 μB per formula unit
N(E_F) ... 29.284 states/eV per cell

```
data_PuScGeRh
_chemical_formula_sum 'Pu4 Sc4 Ge4 Rh4'
_space_group_name_H-M_alt 'F -4 3 m'
_space_group_IT_number 216
_space_group_name_Hall 'F -4 2 3'
_cell_length_a 6.822
_cell_length_b 6.822
_cell_length_c 6.822
_cell_angle_alpha 90.00
_cell_angle_beta 90.00
_cell_angle_gamma 90.00
loop_
_atom_site_label
_atom_site_fract_x
_atom_site_fract_y
_atom_site_fract_z
_atom_site_occupancy
Pu1 0.000 0.000 0.000 1
Sc1 0.000 0.000 0.500 1
Ge1 0.250 0.250 0.750 1
Rh1 0.250 0.250 0.250 1
```